A relaxed structure of LiCrRhN2, computed with PBE.

The value obtained for the total magnetization is 0.96 Bohr magnetons per cell. The value obtained for the total energy is -32.2 eV/f.u. As for the formation energy (no corrections): 0.6767 eV per atom. The space group is P4/mmm.

abc: 3.668 3.668 4.827
angles: 90.00 90.00 90.00
Atoms (fractional coordinates):
Li  0.000  0.000  0.000
Cr  0.500  0.500  0.500
Rh  0.500  0.500  0.000
N  0.000  0.500  0.500
N  0.500  0.000  0.500